# 1
Here is a relaxed structure of CuTe from Alexandria. Energies are from PBEsol.

Geometry as POSCAR:
```
CuTe
1.0
6.948 0.000 0.000
-3.474 6.017 0.000
0.000 0.000 3.117
Cu Te
3 3
Direct
0.000 0.634 0.000
0.366 0.366 0.000
0.634 0.000 0.000
0.000 0.000 0.000
0.333 0.667 0.500
0.667 0.333 0.500
```

**Uncorrected energy**: -3.85 eV per atom
**Calculated volume**: 130.3 Å³/cell
**E_form (uncorrected)**: 7.5 kJ/mol of atoms

# 2
Here is a relaxed structure of Be2FeAu from Alexandria. Energies are from PBEsol.

Geometry as POSCAR:
```
Be2FeAu
1.0
4.262 -1.315 0.000
4.262 1.315 0.000
-1.227 0.000 3.893
Be Fe Au
2 1 1
Direct
0.000 0.000 0.000
0.722 0.722 0.329
0.249 0.249 0.865
0.473 0.473 0.488
```

**Uncorrected energy**: -5.23 eV per atom
**Calculated volume**: 43.6 Å³/cell

# 3
Here is a relaxed structure of ZrTi2H from Alexandria. Energies are from PBEsol.

Geometry as POSCAR:
```
ZrTi2H
1.0
0.000 3.115 3.115
3.115 0.000 3.115
3.115 3.115 0.000
Zr Ti H
1 2 1
Direct
0.000 0.000 0.000
0.250 0.250 0.250
0.750 0.750 0.750
0.500 0.500 0.500
```

**Uncorrected energy**: -6.43 eV per atom
**Calculated volume**: 60.4 Å³/cell

# 4
Here is a relaxed structure of ZrSc2Mo from Alexandria. Energies are from PBEsol.

Geometry as POSCAR:
```
ZrSc2Mo
1.0
3.390 0.000 0.000
0.000 3.390 0.000
0.000 0.000 7.188
Zr Sc Mo
1 2 1
Direct
0.000 0.000 0.000
0.000 0.000 0.417
0.500 0.500 0.727
0.500 0.500 0.195
```

**Uncorrected energy**: -8.44 eV per atom
**Calculated volume**: 82.6 Å³/cell

# 5
Here is a relaxed structure of Zr5Ag from Alexandria. Energies are from PBEsol.

Geometry as POSCAR:
```
Zr5Ag
1.0
0.000 4.020 4.020
4.020 0.000 4.020
4.020 4.020 0.000
Zr Ag
5 1
Direct
0.000 0.000 0.000
0.120 0.627 0.627
0.627 0.120 0.627
0.627 0.627 0.120
0.627 0.627 0.627
0.250 0.250 0.250
```

**Uncorrected energy**: -7.79 eV per atom
**Calculated volume**: 129.9 Å³/cell

# 6
Here is a relaxed structure of Sc3Ag2 from Alexandria. Energies are from PBEsol.

Geometry as POSCAR:
```
Sc3Ag2
1.0
4.678 0.000 0.000
-2.339 4.051 0.000
0.000 0.000 5.741
Sc Ag
3 2
Direct
0.000 0.000 0.000
0.333 0.667 0.349
0.667 0.333 0.651
0.333 0.667 0.850
0.667 0.333 0.150
```

**Uncorrected energy**: -5.35 eV per atom
**Calculated volume**: 108.8 Å³/cell

# 7
Here is a relaxed structure of Mg2AsRh from Alexandria. Energies are from PBEsol.

Geometry as POSCAR:
```
Mg2AsRh
1.0
3.126 0.000 0.000
0.000 3.126 0.000
0.000 0.000 7.347
Mg As Rh
2 1 1
Direct
0.000 0.000 0.000
0.500 0.500 0.323
0.500 0.500 0.732
0.000 0.000 0.568
```

**Uncorrected energy**: -4.49 eV per atom
**Calculated volume**: 71.8 Å³/cell

# 8
Here is a relaxed structure of Hg3S2BrCl from Alexandria. Energies are from PBEsol.

Geometry as POSCAR:
```
Hg3S2BrCl
1.0
8.624 -4.625 0.000
8.624 4.625 0.000
-0.131 0.000 9.240
Hg S Br Cl
12 8 4 4
Direct
0.000 0.500 0.000
0.104 0.651 0.305
0.230 0.230 0.294
0.235 0.765 0.000
0.349 0.896 0.695
0.473 0.473 0.723
0.500 0.000 0.000
0.527 0.527 0.277
0.651 0.104 0.305
0.765 0.235 0.000
0.770 0.770 0.706
0.896 0.349 0.695
0.018 0.504 0.739
0.226 0.743 0.740
0.257 0.774 0.260
0.496 0.982 0.261
0.504 0.018 0.739
0.743 0.226 0.740
0.774 0.257 0.260
0.982 0.496 0.261
0.126 0.126 0.979
0.375 0.375 0.011
0.625 0.625 0.989
0.874 0.874 0.021
0.119 0.119 0.506
0.378 0.378 0.474
0.622 0.622 0.526
0.881 0.881 0.494
```

**Uncorrected energy**: -2.40 eV per atom
**Calculated volume**: 737.1 Å³/cell
**E_form (uncorrected)**: -34.3 kJ/mol of atoms

# 9
Here is a relaxed structure of CoB2I2 from Alexandria. Energies are from PBEsol.

Geometry as POSCAR:
```
CoB2I2
1.0
-2.423 2.423 3.999
2.423 -2.423 3.999
2.423 2.423 -3.999
Co B I
1 2 2
Direct
0.000 0.000 0.000
0.250 0.750 0.500
0.750 0.250 0.500
0.297 0.297 0.000
0.703 0.703 0.000
```

**Uncorrected energy**: -3.21 eV per atom
**Calculated volume**: 93.9 Å³/cell
**E_form (uncorrected)**: 178.7 kJ/mol of atoms

# 10
Here is a relaxed structure of MoAsRhBr2 from Alexandria. Energies are from PBEsol.

Geometry as POSCAR:
```
MoAsRhBr2
1.0
5.067 0.000 0.000
0.000 5.067 0.000
0.000 0.000 4.615
Mo As Rh Br
1 1 1 2
Direct
0.000 0.000 0.000
0.500 0.500 0.000
0.500 0.500 0.500
0.000 0.500 0.500
0.500 0.000 0.500
```

**Uncorrected energy**: -4.80 eV per atom
**Calculated volume**: 118.5 Å³/cell
**E_form (uncorrected)**: 91.6 kJ/mol of atoms

# 11
Here is a relaxed structure of Li2Hg from Alexandria. Energies are from PBEsol.

Geometry as POSCAR:
```
Li2Hg
1.0
1.991 -6.124 0.000
1.991 6.124 0.000
0.000 0.000 4.158
Li Hg
4 2
Direct
0.078 0.922 0.750
0.253 0.747 0.250
0.747 0.253 0.750
0.922 0.078 0.250
0.407 0.593 0.750
0.593 0.407 0.250
```

**Uncorrected energy**: -1.86 eV per atom
**Calculated volume**: 101.4 Å³/cell

# 12
Here is a relaxed structure of As4Ir from Alexandria. Energies are from PBEsol.

Geometry as POSCAR:
```
As4Ir
1.0
-2.527 2.527 3.726
2.527 -2.527 3.726
2.527 2.527 -3.726
As Ir
4 1
Direct
0.173 0.173 0.000
0.250 0.750 0.500
0.750 0.250 0.500
0.827 0.827 0.000
0.500 0.500 0.000
```

**Uncorrected energy**: -5.42 eV per atom
**Calculated volume**: 95.2 Å³/cell